{"formula": "SrAlTcN2", "functional": "GGA-PBE", "state": "relaxed", "raw_formation_energy_mev_per_atom": 1091, "cell": [[4.0713, 0.0000, 0.0000], [0.0000, 4.8027, 0.0000], [0.0000, 0.0000, 4.0713]], "species": ["Sr", "N", "N", "Tc", "Al"], "fractional_positions": [[0.5000, 0.5000, 0.5000], [0.0000, 0.0000, 0.5000], [0.5000, 0.0000, 0.0000], [0.0000, 0.5000, 0.0000], [0.0000, 0.0000, 0.0000]]}

{"formula": "GaPbS", "functional": "GGA-PBE", "state": "relaxed", "de_polymorph_ev_per_fu": 0.07, "raw_formation_energy_mev_per_atom": -240, "cell": [[3.5580, 0.0000, 0.0000], [-1.7790, 3.0814, 0.0000], [0.0000, 0.0000, 6.5474]], "species": ["Pb", "S", "Ga"], "fractional_positions": [[0.0000, 0.0000, 0.0024], [0.3333, 0.6667, 0.5966], [0.6667, 0.3333, 0.4010]]}

{"formula": "ZnGaNi4H", "functional": "GGA-PBE", "state": "relaxed", "dft_energy_ev_per_atom": -4.55, "cell": [[5.0094, 0.0000, 0.0000], [0.0000, 5.0147, 0.0000], [-2.5047, 0.0000, 6.1128]], "species": ["Zn", "Zn", "Ga", "Ga", "Ni", "Ni", "Ni", "Ni", "Ni", "Ni", "Ni", "Ni", "H", "H"], "fractional_positions": [[0.1022, 0.2500, 0.2044], [0.8978, 0.7500, 0.7956], [0.6057, 0.7500, 0.2114], [0.3943, 0.2500, 0.7886], [0.9055, 0.2500, 0.8111], [0.4110, 0.7500, 0.8220], [0.0945, 0.7500, 0.1889], [0.5890, 0.2500, 0.1780], [0.5000, 0.5000, 0.5000], [0.0000, 0.0000, 0.5000], [0.5000, 0.0000, 0.5000], [0.0000, 0.5000, 0.5000], [0.2480, 0.7500, 0.4960], [0.7520, 0.2500, 0.5040]]}

{"formula": "TlNiAuCl6", "functional": "GGA-PBE", "state": "relaxed", "raw_formation_energy_mev_per_atom": -458, "cell": [[6.4381, 0.0001, 0.0000], [3.2192, 5.5756, 0.0001], [0.0001, -0.0002, 7.1064]], "species": ["Tl", "Ni", "Au", "Cl", "Cl", "Cl", "Cl", "Cl", "Cl"], "fractional_positions": [[0.0000, 0.0000, 0.0000], [0.3333, 0.3333, 0.4999], [0.6667, 0.6667, 0.5000], [0.0166, 0.3582, 0.3055], [0.3582, 0.0167, 0.6945], [0.6251, 0.3582, 0.6945], [0.0166, 0.6251, 0.6944], [0.3582, 0.6252, 0.3055], [0.6251, 0.0166, 0.3055]]}

{"formula": "Ce2Nd2Pb3", "functional": "GGA-PBE", "state": "relaxed", "delta_e_f_ev_per_atom": -0.316, "cell": [[-0.0153, 2.6982, -4.5236], [-3.2430, -3.4895, -2.0704], [-4.9579, 4.9097, 6.0118]], "species": ["Ce", "Ce", "Nd", "Nd", "Pb", "Pb", "Pb"], "fractional_positions": [[0.8769, 0.8770, 0.7539], [0.1231, 0.1230, 0.2461], [0.6194, 0.6192, 0.2388], [0.3806, 0.3808, 0.7612], [0.0000, 0.5000, 0.0000], [0.2525, 0.7526, 0.5050], [0.7475, 0.2474, 0.4950]]}

{"formula": "Cr2MoAs", "functional": "GGA-PBE", "state": "relaxed", "delta_e_f_ev_per_atom": 0.324, "cell": [[-5.2442, 5.8266, -1.3035], [-7.0654, 3.5547, -0.7707], [-5.9179, 5.0919, 1.4837]], "species": ["As", "Cr", "Cr", "Mo"], "fractional_positions": [[0.7500, 0.7500, 0.7500], [0.0003, 0.0003, 0.0003], [0.4997, 0.4997, 0.4997], [0.2500, 0.2500, 0.2500]]}

For each record above, in turn, the calculated calculated volume values are 15.9; 23.9; 11.0; 28.3; 33.0; 14.7 Å³/atom.